{
  "formula": "SrSi2IrPb",
  "functional": "PBE",
  "state": "optimized geometry",
  "cell": [[5.433, 0.000, 0.000], [0.000, 5.433, 0.000], [0.000, 0.000, 5.131]],
  "species": ["Sr", "Si", "Si", "Ir", "Pb"],
  "fractional_positions": [[0.000, 0.000, 0.000], [0.000, 0.500, 0.000], [0.500, 0.000, 0.000], [0.000, 0.000, 0.500], [0.500, 0.500, 0.500]],
  "polymorph_energy_mev_per_atom": 0,
  "dos_ef_per_ev_cell": 5.72,
  "sg": "No. 123",
  "m_tot_mub_per_atom": 0.000,
  "formation_energy_uncorrected_ev_per_atom": 1.7123
}


{
  "formula": "Sm2IrPb",
  "functional": "PBE",
  "state": "optimized geometry",
  "cell": [[4.336, 0.000, 0.000], [-2.168, 3.755, 0.000], [0.000, 0.000, 7.076]],
  "species": ["Sm", "Sm", "Ir", "Pb"],
  "fractional_positions": [[0.333, 0.667, 0.198], [0.667, 0.333, 0.802], [0.000, 0.000, 0.000], [0.000, 0.000, 0.500]],
  "polymorph_energy_mev_per_atom": 107,
  "dos_ef_per_ev_cell": 3.25,
  "sg": "No. 164",
  "m_tot_mub_per_atom": 0.000,
  "formation_enthalpy_0k_kcal_per_mol_atoms": -11.6
}


{
  "formula": "SmIrPb",
  "functional": "PBE",
  "state": "optimized geometry",
  "cell": [[7.174, 0.000, 0.000], [0.000, 4.670, 0.000], [0.000, 0.000, 8.358]],
  "species": ["Sm", "Sm", "Sm", "Sm", "Ir", "Ir", "Ir", "Ir", "Pb", "Pb", "Pb", "Pb"],
  "fractional_positions": [[0.022, 0.250, 0.183], [0.478, 0.750, 0.683], [0.522, 0.250, 0.317], [0.978, 0.750, 0.817], [0.247, 0.750, 0.396], [0.253, 0.250, 0.896], [0.747, 0.750, 0.104], [0.753, 0.250, 0.604], [0.159, 0.250, 0.572], [0.341, 0.750, 0.072], [0.659, 0.250, 0.928], [0.841, 0.750, 0.428]],
  "dos_ef_per_ev_cell": 5.98,
  "sg": "No. 62",
  "m_tot_mub_per_atom": 0.000,
  "formation_enthalpy_0k_kcal_per_mol_atoms": -11.6
}


{
  "formula": "SmIrPb",
  "functional": "PBE",
  "state": "optimized geometry",
  "cell": [[0.000, 3.390, 3.390], [3.390, 0.000, 3.390], [3.390, 3.390, 0.000]],
  "species": ["Sm", "Ir", "Pb"],
  "fractional_positions": [[0.000, 0.000, 0.000], [0.250, 0.250, 0.250], [0.500, 0.500, 0.500]],
  "dos_ef_per_ev_cell": 4.77,
  "sg": "No. 216",
  "m_tot_mub_per_atom": 0.000,
  "formation_enthalpy_0k_kcal_per_mol_atoms": -9.3
}


{
  "formula": "Sm2IrPb",
  "functional": "PBE",
  "state": "optimized geometry",
  "cell": [[1.984, 1.146, 8.580], [-1.984, 1.146, 8.580], [0.000, -2.291, 8.580]],
  "species": ["Sm", "Sm", "Ir", "Pb"],
  "fractional_positions": [[0.231, 0.231, 0.231], [0.769, 0.769, 0.769], [0.500, 0.500, 0.500], [0.000, 0.000, 0.000]],
  "polymorph_energy_mev_per_atom": 93,
  "dos_ef_per_ev_cell": 2.49,
  "sg": "No. 166",
  "m_tot_mub_per_atom": 0.000,
  "formation_enthalpy_0k_kcal_per_mol_atoms": -12.0
}


{
  "formula": "Sm3IrPb2",
  "functional": "PBE",
  "state": "optimized geometry",
  "cell": [[12.825, 0.000, 0.000], [0.000, 4.472, 0.000], [0.000, 0.000, 11.992]],
  "species": ["Sm", "Sm", "Sm", "Sm", "Sm", "Sm", "Sm", "Sm", "Sm", "Sm", "Sm", "Sm", "Ir", "Ir", "Ir", "Ir", "Pb", "Pb", "Pb", "Pb", "Pb", "Pb", "Pb", "Pb"],
  "fractional_positions": [[0.055, 0.250, 0.132], [0.118, 0.750, 0.541], [0.247, 0.250, 0.791], [0.253, 0.750, 0.291], [0.382, 0.250, 0.041], [0.445, 0.750, 0.632], [0.555, 0.250, 0.368], [0.618, 0.750, 0.959], [0.747, 0.250, 0.709], [0.753, 0.750, 0.209], [0.882, 0.250, 0.459], [0.945, 0.750, 0.868], [0.126, 0.250, 0.369], [0.374, 0.750, 0.869], [0.626, 0.250, 0.131], [0.874, 0.750, 0.631], [0.009, 0.250, 0.695], [0.186, 0.750, 0.999], [0.314, 0.250, 0.499], [0.491, 0.750, 0.195], [0.509, 0.250, 0.805], [0.686, 0.750, 0.501], [0.814, 0.250, 0.001], [0.991, 0.750, 0.305]],
  "polymorph_energy_mev_per_atom": 0,
  "dos_ef_per_ev_cell": 10.46,
  "sg": "No. 62",
  "m_tot_mub_per_atom": 0.000,
  "formation_enthalpy_0k_kcal_per_mol_atoms": -13.7
}